Record 1
A relaxed structure of Te2PbAu, computed with GGA-PBE. Values from VASP.

- crystal system = orthorhombic

```
&SYSTEM
  ibrav = 0, nat = 4, ntyp = 3
/
ATOMIC_SPECIES
Au 196.97 Au.upf
Te 127.60 Te.upf
Pb 207.20 Pb.upf
CELL_PARAMETERS angstrom
3.805 0.000 0.000
0.000 4.963 0.000
0.000 0.000 5.889
ATOMIC_POSITIONS crystal
Au 0.500 0.000 0.500
Te 0.000 0.000 0.000
Te 0.500 0.500 0.000
Pb 0.000 0.500 0.500
```

---

Record 2
A relaxed structure of Te2PbAu, computed with GGA-PBE. Values from VASP.

- crystal system = tetragonal

```
&SYSTEM
  ibrav = 0, nat = 4, ntyp = 3
/
ATOMIC_SPECIES
Te 127.60 Te.upf
Pb 207.20 Pb.upf
Au 196.97 Au.upf
CELL_PARAMETERS angstrom
-2.457 -1.590 -1.327
1.426 0.194 -2.873
5.324 -9.878 1.976
ATOMIC_POSITIONS crystal
Te 0.000 0.000 0.968
Te 0.500 0.500 0.316
Pb 0.500 0.500 0.701
Au 0.000 0.000 0.515
```

---

Record 3
A relaxed structure of Te2PbAu, computed with GGA-PBE. Values from VASP.

- crystal system = monoclinic

```
&SYSTEM
  ibrav = 0, nat = 4, ntyp = 3
/
ATOMIC_SPECIES
Pb 207.20 Pb.upf
Te 127.60 Te.upf
Au 196.97 Au.upf
CELL_PARAMETERS angstrom
-2.940 1.847 -2.454
-3.002 -0.594 3.151
0.173 5.823 4.175
ATOMIC_POSITIONS crystal
Pb 0.500 0.692 0.733
Te 0.000 0.097 0.930
Te 0.500 0.423 0.300
Au 0.000 0.289 0.537
```

---

Record 4
A relaxed structure of Te2PbAu, computed with GGA-PBE. Values from VASP.

- crystal system = orthorhombic

```
&SYSTEM
  ibrav = 0, nat = 4, ntyp = 3
/
ATOMIC_SPECIES
Pb 207.20 Pb.upf
Te 127.60 Te.upf
Au 196.97 Au.upf
CELL_PARAMETERS angstrom
-3.402 4.635 1.887
-3.487 -2.094 4.480
5.844 0.735 -1.388
ATOMIC_POSITIONS crystal
Pb 0.250 0.750 0.500
Te 0.936 0.936 0.000
Te 0.564 0.564 0.000
Au 0.750 0.250 0.500
```

---

Record 5
A relaxed structure of Te2PbAu, computed with GGA-PBE. Values from VASP.

- crystal system = triclinic

```
&SYSTEM
  ibrav = 0, nat = 4, ntyp = 3
/
ATOMIC_SPECIES
Pb 207.20 Pb.upf
Te 127.60 Te.upf
Au 196.97 Au.upf
CELL_PARAMETERS angstrom
-3.821 -1.061 0.390
1.053 -2.849 2.584
0.598 6.918 4.338
ATOMIC_POSITIONS crystal
Pb 0.222 0.882 0.228
Te 0.847 0.507 0.480
Te 0.595 0.254 0.976
Au 0.471 0.632 0.728
```

---

Record 6
A relaxed structure of Te2PbAu2, computed with GGA-PBE. Values from VASP.

- crystal system = tetragonal
- ΔE to the lowest computed polymorph (meV/atom) = 0

```
&SYSTEM
  ibrav = 0, nat = 5, ntyp = 3
/
ATOMIC_SPECIES
Te 127.60 Te.upf
Pb 207.20 Pb.upf
Au 196.97 Au.upf
CELL_PARAMETERS angstrom
4.121 0.000 0.000
0.000 4.121 0.000
2.060 2.060 7.862
ATOMIC_POSITIONS crystal
Te 0.385 0.385 0.230
Te 0.615 0.615 0.770
Pb 0.000 0.000 0.000
Au 0.750 0.250 0.500
Au 0.250 0.750 0.500
```

---

| no. | ΔE_f (raw) (eV per formula unit) |
| --- | --- |
| 1 | 0.52 |
| 2 | 0.43 |
| 3 | -0.35 |
| 4 | -0.33 |
| 5 | -0.18 |
| 6 | -0.11 |